[1]
The following is a DFT calculation (GGA-PBE) of an optimized crystal structure of CaCeTm2Se4.

a b c (Å): 4.082 7.151 7.108
angles (deg): 109.13 90.00 90.00
Element x y z (fractional)
Se  0.000  0.250  0.738
Se  0.000  0.750  0.262
Ce  0.000  0.000  0.000
Ca  0.500  0.500  0.000
Se  0.500  0.259  0.264
Se  0.500  0.741  0.736
Tm  0.500  0.000  0.500
Tm  0.000  0.500  0.500


[2]
The following is a DFT calculation (GGA-PBE) of an optimized crystal structure of Ca3Ce3YSe8.

a b c (Å): 8.392 8.392 8.449
angles (deg): 119.76 90.00 120.00
Element x y z (fractional)
Se  0.248  0.496  0.244
Ce  0.000  0.500  0.500
Se  0.752  0.504  0.756
Se  0.244  0.001  0.745
Ca  0.000  0.000  0.000
Ca  0.000  0.500  0.000
Se  0.243  0.999  0.255
Y  0.000  0.000  0.500
Ce  0.500  0.000  0.500
Ce  0.500  0.500  0.500
Se  0.756  0.512  0.255
Se  0.757  0.001  0.745
Se  0.244  0.488  0.745
Se  0.756  0.999  0.255
Ca  0.500  0.500  0.000


[3]
The following is a DFT calculation (GGA-PBE) of an optimized crystal structure of CaCe2YSe4.

a b c (Å): 4.145 7.284 7.218
angles (deg): 70.91 90.00 90.00
Element x y z (fractional)
Se  0.500  0.260  0.746
Ca  0.500  0.500  0.000
Se  0.500  0.740  0.254
Ce  0.500  0.000  0.500
Y  0.000  0.500  0.500
Se  0.000  0.259  0.248
Se  0.000  0.741  0.752
Ce  0.000  0.000  0.000


[4]
The following is a DFT calculation (GGA-PBE) of an optimized crystal structure of Ca3CeY2Se6.

a b c (Å): 7.172 7.172 7.290
angles (deg): 99.45 99.45 119.96
Element x y z (fractional)
Se  0.917  0.577  0.750
Y  0.333  0.667  0.000
Se  0.257  0.257  0.751
Ca  0.165  0.835  0.500
Y  0.667  0.333  0.000
Ce  0.000  0.000  0.000
Se  0.743  0.743  0.249
Ca  0.835  0.165  0.500
Se  0.083  0.423  0.250
Ca  0.500  0.500  0.500
Se  0.423  0.083  0.250
Se  0.577  0.917  0.750


[5]
The following is a DFT calculation (GGA-PBE) of an optimized crystal structure of CaCeY4Se8.

a b c (Å): 8.482 8.482 8.564
angles (deg): 60.32 60.32 60.00
Element x y z (fractional)
Ca  0.374  0.374  0.877
Y  0.626  0.626  0.123
Y  0.494  0.002  0.502
Se  0.752  0.752  0.267
Se  0.230  0.752  0.267
Se  0.240  0.240  0.280
Se  0.758  0.758  0.726
Ce  0.001  0.001  0.996
Se  0.245  0.778  0.731
Y  0.002  0.494  0.502
Se  0.245  0.245  0.731
Y  0.002  0.002  0.502
Se  0.778  0.245  0.731
Se  0.752  0.230  0.267


[6]
The following is a DFT calculation (GGA-PBE) of an optimized crystal structure of CaCe3Y2Se6.

a b c (Å): 4.136 8.399 9.349
angles (deg): 103.86 102.78 90.00
Element x y z (fractional)
Se  0.665  0.090  0.329
Se  0.668  0.577  0.337
Ce  0.500  0.500  0.000
Se  0.335  0.910  0.671
Ce  0.167  0.832  0.333
Ca  0.500  0.000  0.000
Se  0.332  0.423  0.663
Se  0.003  0.246  0.007
Y  0.168  0.337  0.337
Y  0.832  0.663  0.663
Ce  0.833  0.168  0.667
Se  0.997  0.754  0.993


[7]
The following is a DFT calculation (GGA-PBE) of an optimized crystal structure of CaCe2Si.

a b c (Å): 3.888 3.888 7.644
angles (deg): 90.00 90.00 90.00
Element x y z (fractional)
Ce  0.000  0.000  0.826
Ca  0.500  0.500  0.500
Ce  0.000  0.000  0.174
Si  0.500  0.500  0.000

Properties
The value obtained for the excess energy over the best structure of this formula in the dataset is 0 meV per atom.


[8]
The following is a DFT calculation (GGA-PBE) of an optimized crystal structure of CaCeSi4.

a b c (Å): 5.369 5.369 5.369
angles (deg): 60.00 60.00 60.00
Element x y z (fractional)
Si  0.626  0.123  0.626
Si  0.626  0.626  0.626
Ca  0.000  0.000  0.000
Si  0.626  0.626  0.123
Ce  0.250  0.250  0.250
Si  0.123  0.626  0.626

Properties
The value obtained for the excess energy over the best structure of this formula in the dataset is 201 meV per atom.


Energy relative to the elements, uncorrected, record by record: -1782 -1881 -1824 -1872 -1791 -1824 -221 -301 meV/atom
Magnetic moment, record by record: 1.11 3.99 0.10 1.43 1.46 3.52 1.90 0.00 μB/cell